PBE+U MnWN2O, relaxed; total magnetic moment = 1.004 μB/atom; electronic total energy = -6.664 eV per atom
1.0
3.871 0.000 0.000
0.000 3.871 0.000
0.000 0.000 3.551
N W O Mn
2 1 1 1
direct
0.000 0.500 0.000
0.500 0.000 0.000
0.500 0.500 0.500
0.000 0.000 0.500
0.000 0.000 0.000